Compound: Mg2ScRhPb
Source: Alexandria via LeMat-Bulk
Functional: GGA-PBEsol
Structure: relaxed

Values from the calculation:
* energy: -3.804 eV per atom
* total magnetization: 0.0 μB per cell
* DFT formation energy: 0.63 eV/atom
* crystal system: tetragonal

Cell: 4.4683 5.5002 5.5002 Å, 90.00 90.00 90.00°
Last column: nearest neighbours and their distance in Å.
Fractional positions:
Pb: 0.5000 0.5000 0.5000  8 Mg 3.54, 4 Rh 3.89
Mg: 0.0000 0.5000 0.0000  2 Sc 2.75
Mg: 0.0000 0.0000 0.5000  2 Sc 2.75
Sc: 0.0000 0.0000 0.0000  2 Rh 2.23
Rh: 0.5000 0.0000 0.0000  2 Sc 2.23